The following is a GGA-PBE calculation of a relaxed structure of TlSiTeCl2, from the Alexandria database.

```
data_TlSiTeCl2
_chemical_formula_sum 'Tl1 Si1 Te1 Cl2'
_symmetry_space_group_name_H-M 'P 4/m m m'
_symmetry_Int_Tables_number 123
_symmetry_space_group_name_Hall '-P 4 2'
_cell_length_a 5.162
_cell_length_b 5.162
_cell_length_c 6.148
_cell_angle_alpha 90.00
_cell_angle_beta 90.00
_cell_angle_gamma 90.00
loop_
_atom_site_label
_atom_site_type_symbol
_atom_site_fract_x
_atom_site_fract_y
_atom_site_fract_z
Tl1 Tl 0.000 0.000 0.000
Si1 Si 0.500 0.500 0.500
Te1 Te 0.000 0.000 0.500
Cl1 Cl 0.000 0.500 0.000
```

Properties
As for the uncorrected formation energy: 0.2907 eV per atom. The calculation puts the density of states at the Fermi level at 0.564 states/eV/atom.